Entry 1:
Zn2ReRu after structural relaxation. Source: Alexandria via LeMat-Bulk, functional PBE.

## Properties
**Energy relative to the elements**: 0.222 eV/atom
**Total magnetization**: 0.0 μB/f.u.

The structure in CIF format:
```
data_Zn2ReRu
_cell_length_a 5.195
_cell_length_b 5.195
_cell_length_c 5.195
_cell_angle_alpha 148.11
_cell_angle_beta 128.12
_cell_angle_gamma 62.20
_symmetry_space_group_name_H-M 'P 1'
_symmetry_Int_Tables_number 1
_symmetry_space_group_name_Hall 'P 1'
loop_
_atom_site_label
_atom_site_type_symbol
_atom_site_fract_x
_atom_site_fract_y
_atom_site_fract_z
Zn1 Zn 0.245 0.245 0.000
Zn2 Zn 0.755 0.755 0.000
Re1 Re 0.500 0.000 0.500
Ru1 Ru 0.000 0.500 0.500
```

=====

Entry 2:
ErU2S6 after structural relaxation. Source: Alexandria via LeMat-Bulk, functional PBE.

## Properties
**ΔE_f (raw)**: -1498 meV per atom
**Total magnetization**: 3.0 μB/f.u.

The structure in CIF format:
```
data_ErU2S6
_cell_length_a 8.914
_cell_length_b 8.914
_cell_length_c 8.080
_cell_angle_alpha 103.61
_cell_angle_beta 103.61
_cell_angle_gamma 26.00
_symmetry_space_group_name_H-M 'P 1'
_symmetry_Int_Tables_number 1
_symmetry_space_group_name_Hall 'P 1'
loop_
_atom_site_label
_atom_site_type_symbol
_atom_site_fract_x
_atom_site_fract_y
_atom_site_fract_z
Er1 Er 0.000 0.000 0.000
U1 U 0.334 0.334 0.677
U2 U 0.666 0.666 0.323
S1 S 0.162 0.162 0.105
S2 S 0.176 0.176 0.550
S3 S 0.487 0.487 0.767
S4 S 0.513 0.513 0.233
S5 S 0.824 0.824 0.450
S6 S 0.838 0.838 0.895
```

=====

Entry 3:
Cs3CdP2 after structural relaxation. Source: Alexandria via LeMat-Bulk, functional PBE.

## Properties
**Energy relative to the elements**: -0.176 eV/atom
**Total magnetization**: 0.0 μB/f.u.

The structure in CIF format:
```
data_Cs3CdP2
_cell_length_a 9.458
_cell_length_b 9.458
_cell_length_c 9.458
_cell_angle_alpha 126.62
_cell_angle_beta 72.82
_cell_angle_gamma 134.34
_symmetry_space_group_name_H-M 'P 1'
_symmetry_Int_Tables_number 1
_symmetry_space_group_name_Hall 'P 1'
loop_
_atom_site_label
_atom_site_type_symbol
_atom_site_fract_x
_atom_site_fract_y
_atom_site_fract_z
Cs1 Cs 0.179 0.700 0.879
Cs2 Cs 0.250 0.250 0.000
Cs3 Cs 0.321 0.200 0.521
Cs4 Cs 0.679 0.800 0.479
Cs5 Cs 0.750 0.750 0.000
Cs6 Cs 0.821 0.300 0.121
Cd1 Cd 0.250 0.750 0.500
Cd2 Cd 0.750 0.250 0.500
P1 P 0.086 0.325 0.411
P2 P 0.414 0.825 0.239
P3 P 0.586 0.175 0.761
P4 P 0.914 0.675 0.589
```

=====

Entry 4:
Ca2MnNi after structural relaxation. Source: Alexandria via LeMat-Bulk, functional PBE.

## Properties
**Energy relative to the elements**: 0.119 eV/atom
**Total magnetization**: 3.9 μB/f.u.

The structure in CIF format:
```
data_Ca2MnNi
_cell_length_a 3.949
_cell_length_b 5.968
_cell_length_c 5.968
_cell_angle_alpha 43.90
_cell_angle_beta 90.00
_cell_angle_gamma 90.00
_symmetry_space_group_name_H-M 'P 1'
_symmetry_Int_Tables_number 1
_symmetry_space_group_name_Hall 'P 1'
loop_
_atom_site_label
_atom_site_type_symbol
_atom_site_fract_x
_atom_site_fract_y
_atom_site_fract_z
Ca1 Ca 0.000 0.000 0.000
Ca2 Ca 0.500 0.284 0.284
Mn1 Mn 0.000 0.695 0.695
Ni1 Ni 0.500 0.576 0.576
```

=====

Entry 5:
AlCuAs2 after structural relaxation. Source: Alexandria via LeMat-Bulk, functional PBE.

## Properties
**Energy relative to the elements**: -0.027 eV/atom
**Total magnetization**: 0.0 μB/f.u.

The structure in CIF format:
```
data_AlCuAs2
_cell_length_a 6.845
_cell_length_b 6.845
_cell_length_c 6.845
_cell_angle_alpha 131.50
_cell_angle_beta 131.50
_cell_angle_gamma 71.02
_symmetry_space_group_name_H-M 'P 1'
_symmetry_Int_Tables_number 1
_symmetry_space_group_name_Hall 'P 1'
loop_
_atom_site_label
_atom_site_type_symbol
_atom_site_fract_x
_atom_site_fract_y
_atom_site_fract_z
Al1 Al 0.000 0.000 0.000
Al2 Al 0.750 0.250 0.500
Cu1 Cu 0.250 0.750 0.500
Cu2 Cu 0.500 0.500 0.000
As1 As 0.142 0.625 0.017
As2 As 0.375 0.392 0.517
As3 As 0.608 0.125 0.983
As4 As 0.875 0.858 0.483
```

=====

Entry 6:
NdInS3 after structural relaxation. Source: Alexandria via LeMat-Bulk, functional PBE.

## Properties
**ΔE_f (raw)**: -1258 meV per atom
**Total magnetization**: 0.0 μB/f.u.

The structure in CIF format:
```
data_NdInS3
_cell_length_a 8.082
_cell_length_b 3.880
_cell_length_c 14.199
_cell_angle_alpha 90.00
_cell_angle_beta 90.00
_cell_angle_gamma 90.00
_symmetry_space_group_name_H-M 'P 1'
_symmetry_Int_Tables_number 1
_symmetry_space_group_name_Hall 'P 1'
loop_
_atom_site_label
_atom_site_type_symbol
_atom_site_fract_x
_atom_site_fract_y
_atom_site_fract_z
Nd1 Nd 0.147 0.250 0.191
Nd2 Nd 0.353 0.750 0.691
Nd3 Nd 0.647 0.250 0.309
Nd4 Nd 0.853 0.750 0.809
In1 In 0.187 0.750 0.450
In2 In 0.313 0.250 0.950
In3 In 0.687 0.750 0.050
In4 In 0.813 0.250 0.550
S1 S 0.005 0.250 0.384
S2 S 0.145 0.250 0.794
S3 S 0.157 0.750 0.042
S4 S 0.343 0.250 0.542
S5 S 0.355 0.750 0.294
S6 S 0.495 0.750 0.884
S7 S 0.505 0.250 0.116
S8 S 0.645 0.250 0.706
S9 S 0.657 0.750 0.458
S10 S 0.843 0.250 0.958
S11 S 0.855 0.750 0.206
S12 S 0.995 0.750 0.616
```